A geometry-optimized Ba2H6Pt structure, computed with PBE.

abc: 7.847 7.847 5.976
angles: 90.00 90.00 44.77
Positions (direct):
Ba 0.142 0.142 0.000
Ba 0.358 0.358 0.500
Ba 0.642 0.642 0.500
Ba 0.858 0.858 0.000
H 0.000 0.500 0.250
H 0.000 0.500 0.750
H 0.115 0.115 0.500
H 0.200 0.800 0.699
H 0.300 0.700 0.199
H 0.385 0.385 0.000
H 0.500 0.000 0.250
H 0.500 0.000 0.750
H 0.615 0.615 0.000
H 0.700 0.300 0.801
H 0.800 0.200 0.301
H 0.885 0.885 0.500
Pt 0.000 0.000 0.500
Pt 0.500 0.500 0.000

Properties
Its space-group type is Cmce. Its crystal system is orthorhombic. The density of states at the Fermi level is 0.0 states/eV per cell. For the total energy, the calculation gives -3.901 eV per atom.